# Rb2YTlI6, relaxed, DFT PBEsol
data_Rb2YTlI6
_space_group_name_H-M_alt 'P 1'
_space_group_IT_number 1
_cell_length_a 8.8106
_cell_length_b 8.8106
_cell_length_c 8.8106
_cell_angle_alpha 60.00
_cell_angle_beta 60.00
_cell_angle_gamma 60.00
loop_
_space_group_symop_operation_xyz
'x,y,z'
loop_
_atom_site_label
_atom_site_fract_x
_atom_site_fract_y
_atom_site_fract_z
_atom_site_occupancy
I1 0.7613 0.2387 0.7613 1
I2 0.7613 0.7613 0.2387 1
I3 0.2387 0.7613 0.7613 1
I4 0.2387 0.2387 0.7613 1
I5 0.7613 0.2387 0.2387 1
I6 0.2387 0.7613 0.2387 1
Rb1 0.7500 0.7500 0.7500 1
Rb2 0.2500 0.2500 0.2500 1
Y1 0.0000 0.0000 0.0000 1
Tl1 0.5000 0.5000 0.5000 1
# E: -3.425 eV/atom
# Density: 4.21 g/cm³
# Magnetic moment: 0.000 μB per formula unit
# Formation energy (no corrections): -1.215 eV per atom

# Rb5Tm3I12, relaxed, DFT PBEsol
data_Rb5Tm3I12
_space_group_name_H-M_alt 'P 1'
_space_group_IT_number 1
_cell_length_a 4.3418
_cell_length_b 14.8234
_cell_length_c 14.8234
_cell_angle_alpha 120.00
_cell_angle_beta 90.00
_cell_angle_gamma 90.00
loop_
_space_group_symop_operation_xyz
'x,y,z'
loop_
_atom_site_label
_atom_site_fract_x
_atom_site_fract_y
_atom_site_fract_z
_atom_site_occupancy
I1 0.5000 0.5570 0.7895 1
I2 0.0000 0.0000 0.4718 1
I3 0.5000 0.4430 0.2325 1
I4 0.0000 0.8137 0.8137 1
I5 0.0000 0.4718 0.0000 1
I6 0.5000 0.7675 0.2105 1
I7 0.0000 0.0000 0.1863 1
I8 0.0000 0.1863 0.0000 1
I9 0.0000 0.5282 0.5282 1
I10 0.5000 0.2325 0.4430 1
I11 0.5000 0.2105 0.7675 1
I12 0.5000 0.7895 0.5570 1
Rb1 0.0000 0.3333 0.6667 1
Rb2 0.0000 0.2770 0.2770 1
Rb3 0.0000 0.7230 0.0000 1
Rb4 0.0000 0.0000 0.7230 1
Rb5 0.0000 0.6667 0.3333 1
Tm1 0.5000 0.0000 0.3305 1
Tm2 0.5000 0.6695 0.6695 1
Tm3 0.5000 0.3305 0.0000 1
# E: -3.386 eV/atom
# Density: 4.94 g/cm³
# Magnetic moment: 0.001 μB per formula unit
# Formation energy (no corrections): -1.335 eV per atom